Entry from Alexandria via LeMat-Bulk: a relaxed structure of ErZn3Au3 (PBE-GGA).

polymorph energy (0 for the lowest one)	0.05	eV/f.u.
DOS(E_F)	4.97	states/eV/cell
V	18.2	Å³/atom
DFT formation energy	-0.396	eV per atom
total magnetization	0.0	μB/cell

Cell lengths 4.519, 8.265, 8.137 Å; angles 122.95, 90.00, 90.00 degrees
Atoms (fractional coordinates):
Zn 0.750 0.200 0.214
Zn 0.750 0.789 0.979
Zn 0.750 0.016 0.791
Zn 0.250 0.800 0.786
Zn 0.250 0.984 0.209
Zn 0.250 0.211 0.021
Er 0.250 0.670 0.339
Er 0.750 0.330 0.661
Au 0.250 0.081 0.642
Au 0.250 0.569 0.930
Au 0.750 0.919 0.358
Au 0.750 0.431 0.070
Au 0.250 0.367 0.433
Au 0.750 0.633 0.567

Entry from Alexandria via LeMat-Bulk: a relaxed structure of ErZn4Au8 (PBE-GGA).

polymorph energy (0 for the lowest one)	3.37	eV/f.u.
DOS(E_F)	2.39	states/eV/cell
V	20.5	Å³/atom
DFT formation energy	-0.081	eV per atom
total magnetization	0.0	μB/cell

Cell lengths 7.387, 7.387, 7.387 Å; angles 57.19, 57.19, 57.19 degrees
Atoms (fractional coordinates):
Au 0.846 0.258 0.258
Au 0.258 0.846 0.258
Au 0.742 0.742 0.154
Au 0.154 0.742 0.742
Au 0.258 0.258 0.846
Au 0.742 0.154 0.742
Au 0.250 0.250 0.250
Au 0.750 0.750 0.750
Er 0.000 0.000 0.000
Zn 0.500 0.000 0.500
Zn 0.000 0.500 0.500
Zn 0.500 0.500 0.000
Zn 0.500 0.500 0.500